Ca2SbWO6: relaxed, PBE with a Hubbard U.

The structure in POSCAR format:
```
Ca2SbWO6
1.0
-1.7981 0.2172 5.6474
0.9362 4.8889 3.2242
-4.5651 3.4641 1.5274
Ca Sb W O
2 1 1 6
Cartesian
-1.3568 2.1425 2.5997
-4.0703 6.4276 7.7992
0.0000 0.0000 0.0000
-2.7135 4.2851 5.1995
-0.9883 4.5705 4.2657
-4.4387 3.9997 6.1332
-1.8382 4.6732 6.9353
-3.5888 3.8970 3.4637
-3.1462 6.2080 4.9878
-2.2808 2.3622 5.4112
```

Results
- E (eV per atom) = -6.43
- N(E_F) (states/eV/cell) = 3.84